PrZn5Ni2 GGA-PBE optimized geometry; final energy = -49.762 eV/cell; calculated formation energy = -2.169 eV per formula unit
1.0
3.942 0.000 0.000
0.000 7.223 0.000
0.000 0.000 9.343
Pr Zn Ni
2 10 4
direct
0.000 0.000 0.000
0.500 0.500 0.500
0.000 0.183 0.344
0.000 0.183 0.656
0.000 0.500 0.000
0.000 0.817 0.344
0.000 0.817 0.656
0.500 0.000 0.500
0.500 0.317 0.156
0.500 0.317 0.844
0.500 0.683 0.156
0.500 0.683 0.844
0.000 0.500 0.257
0.000 0.500 0.743
0.500 0.000 0.243
0.500 0.000 0.757

=====

CuBi3S GGA-PBE optimized geometry; excess energy over the best structure of this formula in the dataset = 0 meV/atom; final energy = -16.945 eV/cell; formation energy (no corrections) = 2.92 eV/f.u.
1.0
5.225 0.000 0.000
0.000 5.225 0.000
0.000 0.000 5.225
Cu Bi S
1 3 1
direct
0.000 0.000 0.000
0.000 0.000 0.500
0.000 0.500 0.000
0.500 0.000 0.000
0.500 0.500 0.500

=====

Rb3Pm3YSe8 GGA-PBE optimized geometry; final energy = -76.411 eV/cell; formation energy (no corrections) = -24.92 eV/f.u.
1.0
4.272 2.466 8.184
-4.272 2.466 8.184
0.000 -4.933 8.184
Rb Pm Y Se
3 3 1 8
direct
0.000 0.500 0.500
0.500 0.000 0.500
0.500 0.500 0.000
0.000 0.000 0.500
0.000 0.500 0.000
0.500 0.000 0.000
0.500 0.500 0.500
0.233 0.233 0.233
0.237 0.729 0.729
0.271 0.271 0.763
0.271 0.763 0.271
0.729 0.237 0.729
0.729 0.729 0.237
0.763 0.271 0.271
0.767 0.767 0.767

=====

Pm2Mn2Si2N GGA-PBE optimized geometry; final energy = -105.219 eV/cell; formation energy (no corrections) = -5.60 eV/f.u.
1.0
10.859 0.000 0.000
0.000 3.978 0.000
-4.407 0.000 5.366
Pm Mn Si N
4 4 4 2
direct
0.059 0.000 0.294
0.441 0.500 0.706
0.559 0.500 0.294
0.941 0.000 0.706
0.195 0.500 0.090
0.305 0.000 0.910
0.695 0.000 0.090
0.805 0.500 0.910
0.168 0.500 0.728
0.332 0.000 0.272
0.668 0.000 0.728
0.832 0.500 0.272
0.000 0.500 0.000
0.500 0.000 0.000

=====

Values of DOS at the Fermi energy, in order: 5.2, 6.9, 11.1, 4.0, all in states/eV/f.u..
Values of size of the total moment, in order: 0.000, 0.000, 0.000, 0.000, all in μB per cell.